(1)
Below is a PBEsol-optimized structure of P2PbW, with properties calculated at the meta-GGA SCAN level.

## Properties
Theoretical density ... 9.9 g cm⁻³
Symmetry ... Cmmm, No. 65
Fermi-level density of states ... 5.01 states/eV/cell
ΔE_f ... 0.455 eV per atom
Total magnetic moment ... 0.000 μB per cell

Lattice parameters (Å, degrees): 3.410 4.960 8.956 90.00 90.00 90.00
Atoms (fractional coordinates):
P 0.000 0.000 0.193
P 0.000 0.000 0.807
P 0.500 0.500 0.193
P 0.500 0.500 0.807
Pb 0.000 0.500 0.500
Pb 0.500 0.000 0.500
W 0.000 0.500 0.000
W 0.500 0.000 0.000

(2)
Below is a PBEsol-optimized structure of BaCdN2Cl, with properties calculated at the meta-GGA SCAN level.

## Properties
Theoretical density ... 4.4 g cm⁻³
Symmetry ... P4/mmm, No. 123
ΔE_f (raw) ... 400 meV/atom
Fermi-level density of states ... 3.23 states/eV/cell
Total magnetic moment ... 2.610 μB per cell

Lattice parameters (Å, degrees): 4.293 4.293 6.473 90.00 90.00 90.00
Atoms (fractional coordinates):
Ba 0.000 0.000 0.000
Cd 0.000 0.000 0.500
N 0.000 0.500 0.500
N 0.500 0.000 0.500
Cl 0.500 0.500 0.000

(3)
Below is a PBEsol-optimized structure of TlMo2Rh, with properties calculated at the meta-GGA SCAN level.

## Properties
Theoretical density ... 12.7 g cm⁻³
Symmetry ... Pmmm, No. 47
Fermi-level density of states ... 3.34 states/eV/cell
ΔE_f ... 0.350 eV per atom
Total magnetic moment ... 0.000 μB per cell

Lattice parameters (Å, degrees): 2.818 4.227 5.462 90.00 90.00 90.00
Atoms (fractional coordinates):
Tl 0.000 0.000 0.000
Mo 0.500 0.500 0.283
Mo 0.500 0.500 0.717
Rh 0.000 0.000 0.500